(1)
Pr3TmS4 | PBE | optimized geometry

Geometry as POSCAR:
```
Pr3TmS4
1.0
7.0735 0.0000 0.0000
0.0000 8.0324 0.0000
-2.3001 0.0000 6.5826
Pr Tm S
6 2 8
direct
0.0000 0.1218 0.2500
0.0000 0.3733 0.7500
0.0000 0.6267 0.2500
0.0000 0.8782 0.7500
0.5000 0.1236 0.7500
0.5000 0.8764 0.2500
0.5000 0.3736 0.2500
0.5000 0.6264 0.7500
0.2597 0.1349 0.0097
0.2597 0.8651 0.5097
0.2672 0.3836 0.4993
0.2672 0.6164 0.9993
0.7328 0.3836 0.0007
0.7328 0.6164 0.5007
0.7403 0.1349 0.4903
0.7403 0.8651 0.9903
```

Properties
VASP energy: -0.236 Ha/atom
Magnetization: 0.0 μB/f.u.
Energy relative to the elements, uncorrected: -1.995 eV/atom

(2)
Pr2TmS4 | PBE | optimized geometry

Geometry as POSCAR:
```
Pr2TmS4
1.0
7.2750 0.0000 0.0000
0.0000 11.4004 0.0000
0.0000 0.0000 4.1210
Pr Tm S
4 2 8
direct
0.0990 0.1848 0.0000
0.4010 0.6848 0.0000
0.5990 0.3152 0.0000
0.9010 0.8152 0.0000
0.0000 0.5000 0.5000
0.5000 0.0000 0.5000
0.1292 0.7167 0.5000
0.2371 0.4489 0.0000
0.2629 0.9489 0.0000
0.3708 0.2167 0.5000
0.6292 0.7833 0.5000
0.7371 0.0511 0.0000
0.7629 0.5511 0.0000
0.8708 0.2833 0.5000
```

Properties
VASP energy: -0.236 Ha/atom
Magnetization: 0.0 μB/f.u.
Energy relative to the elements, uncorrected: -2.052 eV/atom

(3)
Pr2TmS4 | PBE | optimized geometry

Geometry as POSCAR:
```
Pr2TmS4
1.0
7.0235 -2.0206 0.0000
7.0235 2.0206 0.0000
-3.3286 0.0000 6.5106
Pr Tm S
2 1 4
direct
0.2137 0.2137 0.2085
0.7863 0.7863 0.7915
0.5000 0.5000 0.5000
0.1366 0.1366 0.5132
0.3848 0.3848 0.0877
0.6152 0.6152 0.9123
0.8634 0.8634 0.4868
```

Properties
VASP energy: -0.233 Ha/atom
Magnetization: 0.0 μB/f.u.
Energy relative to the elements, uncorrected: -1.966 eV/atom

(4)
Pr4Tm11S22 | PBE | optimized geometry

Geometry as POSCAR:
```
Pr4Tm11S22
1.0
19.5007 -1.9664 0.0000
19.5007 1.9664 0.0000
-0.3167 0.0000 11.3090
Pr Tm S
4 11 22
direct
0.1049 0.1049 0.0129
0.3676 0.3676 0.3500
0.6324 0.6324 0.6500
0.8951 0.8951 0.9871
0.0000 0.0000 0.0000
0.0702 0.0702 0.3605
0.2024 0.2024 0.9417
0.2642 0.2642 0.3524
0.3419 0.3419 0.6996
0.4617 0.4617 0.2692
0.5383 0.5383 0.7308
0.6581 0.6581 0.3004
0.7358 0.7358 0.6476
0.7976 0.7976 0.0583
0.9298 0.9298 0.6395
0.0079 0.0079 0.2405
0.0872 0.0872 0.7549
0.1354 0.1354 0.4509
0.1692 0.1692 0.1514
0.1890 0.1890 0.6909
0.2551 0.2551 0.1197
0.2797 0.2797 0.5910
0.3498 0.3498 0.0927
0.4069 0.4069 0.7866
0.4430 0.4430 0.4914
0.4534 0.4534 0.0299
0.5466 0.5466 0.9701
0.5570 0.5570 0.5086
0.5931 0.5931 0.2134
0.6502 0.6502 0.9073
0.7203 0.7203 0.4090
0.7449 0.7449 0.8803
0.8110 0.8110 0.3091
0.8308 0.8308 0.8486
0.8646 0.8646 0.5491
0.9128 0.9128 0.2451
0.9921 0.9921 0.7595
```

Properties
VASP energy: -0.235 Ha/atom
Magnetization: 0.0 μB/f.u.
Energy relative to the elements, uncorrected: -2.097 eV/atom

(5)
Pr4TmS5 | PBE | optimized geometry

Geometry as POSCAR:
```
Pr4TmS5
1.0
-2.0278 2.0278 14.3739
2.0278 -2.0278 14.3739
2.0278 2.0278 -14.3739
Pr Tm S
4 1 5
direct
0.1009 0.1009 0.0000
0.3042 0.3042 0.0000
0.6958 0.6958 0.0000
0.8991 0.8991 0.0000
0.5000 0.5000 0.0000
0.0000 0.0000 0.0000
0.2021 0.2021 0.0000
0.4058 0.4058 0.0000
0.5942 0.5942 0.0000
0.7979 0.7979 0.0000
```

Properties
VASP energy: -0.235 Ha/atom
Magnetization: 0.0 μB/f.u.
Energy relative to the elements, uncorrected: -1.981 eV/atom

(6)
PrTmS2 | PBE | optimized geometry

Geometry as POSCAR:
```
PrTmS2
1.0
1.9259 1.1119 7.0169
-1.9259 1.1119 7.0169
0.0000 -2.2238 7.0169
Pr Tm S
1 1 2
direct
0.0000 0.0000 0.0000
0.1775 0.1775 0.1775
0.4277 0.4277 0.4277
0.5832 0.5832 0.5832
```

Properties
VASP energy: -0.231 Ha/atom
Magnetization: 0.0 μB/f.u.
Energy relative to the elements, uncorrected: -1.911 eV/atom

(7)
PrTmS | PBE | optimized geometry

Geometry as POSCAR:
```
PrTmS
1.0
3.8295 0.0000 0.0000
-1.9148 3.3165 0.0000
0.0000 0.0000 6.5010
Pr Tm S
1 1 1
direct
0.0000 0.0000 0.0000
0.6667 0.3333 0.4764
0.3333 0.6667 0.7159
```

Properties
VASP energy: -0.209 Ha/atom
Magnetization: 0.0 μB/f.u.
Energy relative to the elements, uncorrected: -1.227 eV/atom

(8)
Pr3TmS6 | PBE | optimized geometry

Geometry as POSCAR:
```
Pr3TmS6
1.0
5.9234 3.4199 4.6393
-5.9234 3.4199 4.6393
0.0000 -6.8398 4.6393
Pr Tm S
6 2 12
direct
0.0684 0.5762 0.7497
0.2503 0.9316 0.4238
0.4238 0.2503 0.9316
0.5762 0.7497 0.0684
0.7497 0.0684 0.5762
0.9316 0.4238 0.2503
0.0000 0.0000 0.0000
0.5000 0.5000 0.5000
0.0399 0.9116 0.6904
0.0884 0.3096 0.9601
0.1928 0.5848 0.4234
0.3096 0.9601 0.0884
0.4152 0.5766 0.8072
0.4234 0.1928 0.5848
0.5766 0.8072 0.4152
0.5848 0.4234 0.1928
0.6904 0.0399 0.9116
0.8072 0.4152 0.5766
0.9116 0.6904 0.0399
0.9601 0.0884 0.3096
```

Properties
VASP energy: -0.236 Ha/atom
Magnetization: 0.0 μB/f.u.
Energy relative to the elements, uncorrected: -2.054 eV/atom

(9)
Pr6TmS8 | PBE | optimized geometry

Geometry as POSCAR:
```
Pr6TmS8
1.0
0.0000 5.7759 5.7759
5.7759 0.0000 5.7759
5.7759 5.7759 0.0000
Pr Tm S
6 1 8
direct
0.0000 0.0000 0.5000
0.0000 0.5000 0.0000
0.0000 0.5000 0.5000
0.5000 0.0000 0.0000
0.5000 0.0000 0.5000
0.5000 0.5000 0.0000
0.0000 0.0000 0.0000
0.2379 0.2379 0.7621
0.2379 0.7621 0.2379
0.2379 0.7621 0.7621
0.2500 0.2500 0.2500
0.7500 0.7500 0.7500
0.7621 0.2379 0.2379
0.7621 0.2379 0.7621
0.7621 0.7621 0.2379
```

Properties
VASP energy: -0.237 Ha/atom
Magnetization: 0.0 μB/f.u.
Energy relative to the elements, uncorrected: -2.043 eV/atom

(10)
PrTm2S3 | PBE | optimized geometry

Geometry as POSCAR:
```
PrTm2S3
1.0
-1.9481 2.7919 5.9442
1.9481 -2.7919 5.9442
1.9481 2.7919 -5.9442
Pr Tm S
1 2 3
direct
0.0000 0.0000 0.0000
0.3404 0.3404 0.0000
0.6596 0.6596 0.0000
0.1814 0.6814 0.5000
0.5000 0.0000 0.5000
0.8186 0.3186 0.5000
```

Properties
VASP energy: -0.231 Ha/atom
Magnetization: 0.0 μB/f.u.
Energy relative to the elements, uncorrected: -1.945 eV/atom

(11)
PrTm2US8 | PBE | optimized geometry

Geometry as POSCAR:
```
PrTm2US8
1.0
5.9194 0.0000 0.0000
0.0000 8.2913 0.0000
-0.0515 0.0000 6.2433
Pr Tm U S
1 2 1 8
direct
0.0000 0.0000 0.0000
0.5000 0.2582 0.5000
0.5000 0.7418 0.5000
0.0000 0.5000 0.0000
0.2253 0.0000 0.4291
0.2475 0.5000 0.3426
0.2518 0.2729 0.8650
0.2518 0.7271 0.8650
0.7482 0.2729 0.1350
0.7482 0.7271 0.1350
0.7525 0.5000 0.6574
0.7747 0.0000 0.5709
```

Properties
VASP energy: -0.232 Ha/atom
Magnetization: 0.0 μB/f.u.
Energy relative to the elements, uncorrected: -1.483 eV/atom

(12)
PrY2TmS6 | PBE | optimized geometry

Geometry as POSCAR:
```
PrY2TmS6
1.0
3.4892 2.0145 6.1941
-3.4892 2.0145 6.1941
0.0000 -4.0290 6.1941
Pr Y Tm S
1 2 1 6
direct
0.0000 0.0000 0.0000
0.2905 0.2905 0.2905
0.7954 0.7954 0.7954
0.4921 0.4921 0.4921
0.0913 0.6748 0.4129
0.1997 0.5867 0.8885
0.4129 0.0913 0.6748
0.5867 0.8885 0.1997
0.6748 0.4129 0.0913
0.8885 0.1997 0.5867
```

Properties
VASP energy: -0.248 Ha/atom
Magnetization: 0.0 μB/f.u.
Energy relative to the elements, uncorrected: -2.044 eV/atom

(13)
Pr3YTm2S6 | PBE | optimized geometry

Geometry as POSCAR:
```
Pr3YTm2S6
1.0
3.4064 -5.9159 0.0000
3.4064 5.9159 0.0000
-2.2804 0.0000 6.6791
Pr Y Tm S
3 1 2 6
direct
0.0000 0.0000 0.0000
0.3352 0.6648 0.0000
0.6648 0.3352 0.0000
0.5000 0.5000 0.5000
0.1665 0.8335 0.5000
0.8335 0.1665 0.5000
0.0866 0.4244 0.2726
0.2375 0.2375 0.7260
0.4244 0.0866 0.2726
0.5756 0.9134 0.7274
0.7625 0.7625 0.2740
0.9134 0.5756 0.7274
```

Properties
VASP energy: -0.240 Ha/atom
Magnetization: 0.0 μB/f.u.
Energy relative to the elements, uncorrected: -2.000 eV/atom

(14)
PrY2TmS4 | PBE | optimized geometry

Geometry as POSCAR:
```
PrY2TmS4
1.0
6.8145 0.0000 0.0000
0.0000 3.9006 0.0000
-2.2385 0.0000 6.5584
Pr Y Tm S
1 2 1 4
direct
0.0000 0.0000 0.0000
0.5000 0.0000 0.5000
0.5000 0.5000 0.0000
0.0000 0.5000 0.5000
0.2496 0.0000 0.7384
0.2587 0.5000 0.2646
0.7413 0.5000 0.7354
0.7504 0.0000 0.2616
```

Properties
VASP energy: -0.250 Ha/atom
Magnetization: 0.0 μB/f.u.
Energy relative to the elements, uncorrected: -1.973 eV/atom

(15)
Pr4YTm3S8 | PBE | optimized geometry

Geometry as POSCAR:
```
Pr4YTm3S8
1.0
3.9282 2.2679 6.7059
-3.9282 2.2679 6.7059
0.0000 -4.5358 6.7059
Pr Y Tm S
4 1 3 8
direct
0.0000 0.0000 0.0000
0.0000 0.5000 0.5000
0.5000 0.0000 0.5000
0.5000 0.5000 0.0000
0.5000 0.5000 0.5000
0.0000 0.0000 0.5000
0.0000 0.5000 0.0000
0.5000 0.0000 0.0000
0.2384 0.7438 0.7438
0.2413 0.2413 0.2413
0.2562 0.2562 0.7616
0.2562 0.7616 0.2562
0.7438 0.2384 0.7438
0.7438 0.7438 0.2384
0.7587 0.7587 0.7587
0.7616 0.2562 0.2562
```

Properties
VASP energy: -0.239 Ha/atom
Magnetization: 0.0 μB/f.u.
Energy relative to the elements, uncorrected: -1.994 eV/atom

(16)
Pr2YTmS4 | PBE | optimized geometry

Geometry as POSCAR:
```
Pr2YTmS4
1.0
6.8402 0.0000 0.0000
0.0000 3.9236 0.0000
-2.2575 0.0000 6.7182
Pr Y Tm S
2 1 1 4
direct
0.0000 0.0000 0.0000
0.5000 0.5000 0.0000
0.0000 0.5000 0.5000
0.5000 0.0000 0.5000
0.2463 0.0000 0.7290
0.2617 0.5000 0.2734
0.7383 0.5000 0.7266
0.7537 0.0000 0.2710
```

Properties
VASP energy: -0.244 Ha/atom
Magnetization: 0.0 μB/f.u.
Energy relative to the elements, uncorrected: -2.001 eV/atom

(17)
PrYTm4S8 | PBE | optimized geometry

Geometry as POSCAR:
```
PrYTm4S8
1.0
4.0086 2.3143 6.5852
-4.0086 2.3143 6.5852
0.0000 -4.6287 6.5852
Pr Y Tm S
1 1 4 8
direct
0.0000 0.0000 0.0000
0.6251 0.6251 0.6251
0.1285 0.6253 0.6253
0.2515 0.2515 0.2515
0.6253 0.1285 0.6253
0.6253 0.6253 0.1285
0.3797 0.3797 0.8571
0.3797 0.8571 0.3797
0.3834 0.3834 0.3834
0.4128 0.8663 0.8663
0.8571 0.3797 0.3797
0.8624 0.8624 0.8624
0.8663 0.4128 0.8663
0.8663 0.8663 0.4128
```

Properties
VASP energy: -0.233 Ha/atom
Magnetization: 0.0 μB/f.u.
Energy relative to the elements, uncorrected: -1.915 eV/atom

(18)
Pr4Y3TmS8 | PBE | optimized geometry

Geometry as POSCAR:
```
Pr4Y3TmS8
1.0
3.9606 2.2866 6.6851
-3.9606 2.2866 6.6851
0.0000 -4.5733 6.6851
Pr Y Tm S
4 3 1 8
direct
0.0000 0.0000 0.0000
0.0000 0.5000 0.5000
0.5000 0.0000 0.5000
0.5000 0.5000 0.0000
0.0000 0.0000 0.5000
0.0000 0.5000 0.0000
0.5000 0.0000 0.0000
0.5000 0.5000 0.5000
0.2437 0.2437 0.2437
0.2466 0.7410 0.7410
0.2590 0.2590 0.7534
0.2590 0.7534 0.2590
0.7410 0.2466 0.7410
0.7410 0.7410 0.2466
0.7534 0.2590 0.2590
0.7563 0.7563 0.7563
```

Properties
VASP energy: -0.248 Ha/atom
Magnetization: 0.0 μB/f.u.
Energy relative to the elements, uncorrected: -2.006 eV/atom

(19)
Pr2TmZnS5 | PBE | optimized geometry

Geometry as POSCAR:
```
Pr2TmZnS5
1.0
1.9385 -8.5061 0.0000
1.9385 8.5061 0.0000
0.0000 0.0000 11.9936
Pr Tm Zn S
4 2 2 10
direct
0.1149 0.8851 0.5000
0.1317 0.8683 0.1337
0.8683 0.1317 0.6337
0.8851 0.1149 0.0000
0.1991 0.8009 0.8319
0.8009 0.1991 0.3319
0.4524 0.5476 0.2635
0.5476 0.4524 0.7635
0.0427 0.9573 0.8687
0.2902 0.7098 0.4874
0.3146 0.6854 0.1750
0.3553 0.6447 0.8200
0.4944 0.5056 0.5897
0.5056 0.4944 0.0897
0.6447 0.3553 0.3200
0.6854 0.3146 0.6750
0.7098 0.2902 0.9874
0.9573 0.0427 0.3687
```

Properties
VASP energy: -0.211 Ha/atom
Magnetization: 0.0 μB/f.u.
Energy relative to the elements, uncorrected: -1.759 eV/atom

(20)
PrUS4 | PBE | optimized geometry

Geometry as POSCAR:
```
PrUS4
1.0
3.2647 -3.2646 0.0000
3.2647 3.2646 0.0000
-0.0096 0.0000 6.6586
Pr U S
1 1 4
direct
0.0000 0.0000 0.0000
0.5000 0.5000 0.5000
0.0001 0.5004 0.2680
0.9999 0.4996 0.7320
0.5004 0.0001 0.2680
0.4996 0.9999 0.7320
```

Properties
VASP energy: -0.256 Ha/atom
Magnetization: 1.0 μB/f.u.
Energy relative to the elements, uncorrected: -1.528 eV/atom